Material: TaFeSn3
Method: DFT, PBE
State: relaxed

Calculated values
ΔH_f (0 K) = 1.040 eV per atom
E = -27.12 eV for the cell shown
M_tot = 4.3 μB per formula unit
V = 28.37 A^3/atom
Fermi-level density of states = 1.62 states/eV/atom

```
TaFeSn3
1.0
-4.1528 -3.1187 -0.4790
2.6939 -3.9168 2.1454
-1.6426 1.4609 4.7296
Fe Sn Ta
1 3 1
Direct
0.5000 0.5000 0.5000
0.0000 0.5000 0.0000
0.0000 0.0000 0.5000
0.5000 0.0000 0.0000
0.0000 0.0000 0.0000
```